1.
Here is a relaxed Nd3SiS6 crystal from the Alexandria database. Energies are from PBE.

Its total energy is -6.069 eV per atom. Its uncorrected formation energy is -1.6201 eV per atom. As for the volume: 991.8 Å³ per cell.

The structure belongs to space group Cmc2_1 (No. 36); the cell edges are 10.9808, 13.5723 and 6.6547 Å and the angles 90.00°, 90.00° and 90.00°. The asymmetric unit holds Nd at (0.0000, 0.0959, 0.0000), Nd at (0.1803, 0.4043, 0.9119), Si at (0.0000, 0.3003, 0.3598), S at (0.0000, 0.2895, 0.6822), S at (0.0000, 0.4530, 0.2493), S at (0.1578, 0.2391, 0.2107) and S at (0.1613, 0.0304, 0.7046).

=====

2.
Here is a relaxed NdHCl2 crystal from the Alexandria database. Energies are from PBE.

Its total energy is -4.729 eV per atom. As for the volume: 284.6 Å³ per cell.

The structure belongs to space group R3m (No. 160, hexagonal axes); the cell edges are 3.9363, 3.9363 and 21.2095 Å and the angles 90.00°, 90.00° and 120.00°. The asymmetric unit holds Nd at (0.0000, 0.0000, 0.0000), H at (0.0000, 0.0000, 0.6667), Cl at (0.0000, 0.0000, 0.2493) and Cl at (0.0000, 0.0000, 0.4174).

=====

no.,density of states at the Fermi level (states/eV/atom),calculated density (Mg/m³)
1,0.37,4.37
2,0.00,3.78